1.
Computed, not measured: an optimized crystal structure of EuZnHgBi at the PBE level of DFT.

- Uncorrected energy: -16.958 eV/cell
- Crystal system: cubic
- Calculated formation energy: -0.307 eV/atom
- Density: 9637 kg/m³
- Magnetization: 7.08 μB/f.u.

Cell: 5.346 5.346 5.346 Å, 60.00 60.00 60.00°
Site moments in Bohr magnetons follow the coordinates.
Atoms (fractional coordinates):
1 Hg 0.250 0.250 0.250  0.01
2 Zn 0.750 0.750 0.750  0.01
3 Bi 0.000 0.000 0.000  -0.04
4 Eu 0.500 0.500 0.500  6.85

=====

2.
Computed, not measured: an optimized crystal structure of EuHoBi2 at the PBE level of DFT.

- Uncorrected energy: -25.749 eV/cell
- Crystal system: trigonal
- Calculated formation energy: -0.784 eV/atom
- Density: 9012 kg/m³
- Magnetization: 6.68 μB/f.u.

Cell: 4.524 4.524 8.072 Å, 73.73 73.73 60.00°
Site moments in Bohr magnetons follow the coordinates.
Atoms (fractional coordinates):
1 Bi 0.255 0.255 0.235  0.06
2 Bi 0.745 0.745 0.765  0.06
3 Eu 0.500 0.500 0.500  -6.75
4 Ho 0.000 0.000 0.000  0.07

=====

3.
Computed, not measured: an optimized crystal structure of EuHoBi at the PBE level of DFT.

- Uncorrected energy: -20.154 eV/cell
- Crystal system: tetragonal
- Calculated formation energy: -0.473 eV/atom
- Density: 9162 kg/m³
- Magnetization: 8.89 μB/f.u.

Cell: 4.151 4.151 6.262 Å, 109.35 109.35 90.00°
Site moments in Bohr magnetons follow the coordinates.
Atoms (fractional coordinates):
1 Bi 0.269 0.269 0.539  -0.04
2 Ho 0.638 0.638 0.276  0.73
3 Eu 0.942 0.942 0.885  7.12

=====

4.
Computed, not measured: an optimized crystal structure of EuHoBi2 at the PBE level of DFT.

- Uncorrected energy: -25.279 eV/cell
- Crystal system: tetragonal
- Calculated formation energy: -0.666 eV/atom
- Density: 9964 kg/m³
- Magnetization: 7.19 μB/f.u.

Cell: 3.486 5.927 5.927 Å, 90.00 90.00 90.00°
Site moments in Bohr magnetons follow the coordinates.
Atoms (fractional coordinates):
1 Eu 0.500 0.500 0.500  6.86
2 Bi 0.000 0.500 0.000  -0.05
3 Bi 0.000 0.000 0.500  -0.05
4 Ho 0.500 0.000 0.000  0.17

=====

5.
Computed, not measured: an optimized crystal structure of EuHoBi at the PBE level of DFT.

- Uncorrected energy: -19.819 eV/cell
- Crystal system: trigonal
- Calculated formation energy: -0.362 eV/atom
- Density: 8470 kg/m³
- Magnetization: 7.31 μB/f.u.

Cell: 4.324 5.247 5.247 Å, 120.00 90.00 90.00°
Site moments in Bohr magnetons follow the coordinates.
Atoms (fractional coordinates):
1 Ho 0.134 0.000 0.000  0.13
2 Eu 0.650 0.667 0.333  6.89
3 Bi 0.216 0.333 0.667  -0.06

=====

6.
Computed, not measured: an optimized crystal structure of EuHoBi2 at the PBE level of DFT.

- Uncorrected energy: -25.302 eV/cell
- Crystal system: tetragonal
- Calculated formation energy: -0.672 eV/atom
- Density: 9827 kg/m³
- Magnetization: 7.11 μB/f.u.

Cell: 3.824 3.824 8.492 Å, 90.00 90.00 90.00°
Site moments in Bohr magnetons follow the coordinates.
Atoms (fractional coordinates):
1 Eu 0.500 0.500 0.500  6.90
2 Bi 0.000 0.000 0.234  -0.03
3 Bi 0.000 0.000 0.766  -0.03
4 Ho 0.500 0.500 0.000  0.01

=====

7.
Computed, not measured: an optimized crystal structure of EuHoBi2 at the PBE level of DFT.

- Uncorrected energy: -25.175 eV/cell
- Crystal system: cubic
- Calculated formation energy: -0.640 eV/atom
- Density: 9828 kg/m³
- Magnetization: 7.07 μB/f.u.

Cell: 5.600 5.600 5.600 Å, 60.00 60.00 60.00°
Site moments in Bohr magnetons follow the coordinates.
Atoms (fractional coordinates):
1 Bi 0.750 0.750 0.750  -0.03
2 Bi 0.250 0.250 0.250  -0.03
3 Eu 0.000 0.000 0.000  6.85
4 Ho 0.500 0.500 0.500  0.01

=====

8.
Computed, not measured: an optimized crystal structure of EuHoBiPb at the PBE level of DFT.

- Uncorrected energy: -24.425 eV/cell
- Crystal system: cubic
- Calculated formation energy: -0.496 eV/atom
- Density: 9921 kg/m³
- Magnetization: 6.96 μB/f.u.

Cell: 5.578 5.578 5.578 Å, 60.00 60.00 60.00°
Site moments in Bohr magnetons follow the coordinates.
Atoms (fractional coordinates):
1 Pb 0.250 0.250 0.250  0.03
2 Bi 0.750 0.750 0.750  0.04
3 Eu 0.500 0.500 0.500  -6.82
4 Ho 0.000 0.000 0.000  -0.01

=====

9.
Computed, not measured: an optimized crystal structure of EuHoSnBi at the PBE level of DFT.

- Uncorrected energy: -24.965 eV/cell
- Crystal system: cubic
- Calculated formation energy: -0.557 eV/atom
- Density: 8969 kg/m³
- Magnetization: 6.90 μB/f.u.

Cell: 5.526 5.526 5.526 Å, 60.00 60.00 60.00°
Site moments in Bohr magnetons follow the coordinates.
Atoms (fractional coordinates):
1 Bi 0.750 0.750 0.750  -0.05
2 Sn 0.250 0.250 0.250  -0.05
3 Ho 0.500 0.500 0.500  0.00
4 Eu 0.000 0.000 0.000  6.80

=====

10.
Computed, not measured: an optimized crystal structure of EuHoTlBi at the PBE level of DFT.

- Uncorrected energy: -22.921 eV/cell
- Crystal system: cubic
- Calculated formation energy: -0.455 eV/atom
- Density: 10078 kg/m³
- Magnetization: 7.39 μB/f.u.

Cell: 5.541 5.541 5.541 Å, 60.00 60.00 60.00°
Site moments in Bohr magnetons follow the coordinates.
Atoms (fractional coordinates):
1 Tl 0.250 0.250 0.250  0.01
2 Ho 0.000 0.000 0.000  0.15
3 Eu 0.500 0.500 0.500  6.86
4 Bi 0.750 0.750 0.750  0.00

=====

11.
Computed, not measured: an optimized crystal structure of NdEuBiI at the PBE level of DFT.

- Uncorrected energy: -24.097 eV/cell
- Crystal system: cubic
- Formation energy (no corrections): -906 meV per atom
- Density: 8164 kg/m³
- Magnetization: 7.92 μB/f.u.

Cell: 5.665 5.665 5.665 Å, 60.00 60.00 60.00°
Site moments in Bohr magnetons follow the coordinates.
Atoms (fractional coordinates):
1 I 0.000 0.000 0.000  -0.02
2 Eu 0.250 0.250 0.250  6.96
3 Bi 0.500 0.500 0.500  -0.07
4 Nd 0.750 0.750 0.750  0.32

=====

12.
Computed, not measured: an optimized crystal structure of PrEuBiI at the PBE level of DFT.

- Uncorrected energy: -24.169 eV/cell
- Crystal system: cubic
- Formation energy (no corrections): -921 meV per atom
- Density: 8038 kg/m³
- Magnetization: 7.92 μB/f.u.

Cell: 5.685 5.685 5.685 Å, 60.00 60.00 60.00°
Site moments in Bohr magnetons follow the coordinates.
Atoms (fractional coordinates):
1 Eu 0.250 0.250 0.250  6.96
2 I 0.000 0.000 0.000  -0.02
3 Pr 0.750 0.750 0.750  0.32
4 Bi 0.500 0.500 0.500  -0.07